Entry 1:
Material: Na4AlZnPt2
Method: DFT, PBE-GGA
State: relaxed

The space group is P-4m2 (No. 115) and the conventional cell measures 4.6724, 4.6724 and 6.6283 Å, with angles of 90.00, 90.00 and 90.00 degrees. The distinct sites, in fractional coordinates, are Na at (0.0000, 0.0000, 0.0000), Na at (0.0000, 0.5000, 0.7394), Na at (0.5000, 0.5000, 0.5000), Al at (0.5000, 0.5000, 0.0000), Zn at (0.0000, 0.0000, 0.5000) and Pt at (0.0000, 0.5000, 0.2290).

Entry 2:
Material: RbNaMoPt
Method: DFT, PBE-GGA
State: relaxed

The space group is F-43m (No. 216) and the conventional cell measures 7.4401, 7.4401 and 7.4401 Å, with angles of 90.00, 90.00 and 90.00 degrees. The distinct sites, in fractional coordinates, are Rb at (0.0000, 0.0000, 0.0000), Na at (0.0000, 0.0000, 0.5000), Mo at (0.2500, 0.2500, 0.7500) and Pt at (0.2500, 0.2500, 0.2500).

Entry 3:
Material: Cs2As2Ir
Method: DFT, PBE-GGA
State: relaxed

The space group is Ibam (No. 72) and the conventional cell measures 7.7538, 14.3407 and 6.7172 Å, with angles of 90.00, 90.00 and 90.00 degrees. The distinct sites, in fractional coordinates, are Cs at (0.1589, 0.1492, 0.0000), As at (0.1572, 0.4134, 0.0000) and Ir at (0.0000, 0.5000, 0.2500).

Entry 4:
Material: AgB2O4
Method: DFT, PBE-GGA
State: relaxed

The space group is Fd-3m (No. 227, origin choice 2) and the conventional cell measures 7.7388, 7.7388 and 7.7388 Å, with angles of 90.00, 90.00 and 90.00 degrees. The distinct sites, in fractional coordinates, are Ag at (0.1250, 0.1250, 0.1250), B at (0.0000, 0.0000, 0.5000) and O at (0.0248, 0.0248, 0.7252).

Entry 5:
Material: BeInAg
Method: DFT, PBE-GGA
State: relaxed

The space group is F-43m (No. 216) and the conventional cell measures 6.1418, 6.1418 and 6.1418 Å, with angles of 90.00, 90.00 and 90.00 degrees. The distinct sites, in fractional coordinates, are Be at (0.0000, 0.0000, 0.0000), In at (0.0000, 0.0000, 0.5000) and Ag at (0.2500, 0.2500, 0.2500).

Entry 6:
Material: PmPuPb
Method: DFT, PBE-GGA
State: relaxed

The space group is F-43m (No. 216) and the conventional cell measures 7.5276, 7.5276 and 7.5276 Å, with angles of 90.00, 90.00 and 90.00 degrees. The distinct sites, in fractional coordinates, are Pm at (0.0000, 0.0000, 0.0000), Pu at (0.0000, 0.0000, 0.5000) and Pb at (0.2500, 0.2500, 0.2500).

Entry 7:
Material: SrNiSb2
Method: DFT, PBE-GGA
State: relaxed

The space group is F-43m (No. 216) and the conventional cell measures 7.3978, 7.3978 and 7.3978 Å, with angles of 90.00, 90.00 and 90.00 degrees. The distinct sites, in fractional coordinates, are Sr at (0.0000, 0.0000, 0.0000), Ni at (0.2500, 0.2500, 0.2500), Sb at (0.0000, 0.0000, 0.5000) and Sb at (0.2500, 0.2500, 0.7500).

Entry 8:
Material: Hf3Zr3Bi2Os
Method: DFT, PBE-GGA
State: relaxed

The space group is P-62m (No. 189) and the conventional cell measures 7.9662, 7.9662 and 3.6836 Å, with angles of 90.00, 90.00 and 120.00 degrees. The distinct sites, in fractional coordinates, are Hf at (0.0000, 0.7576, 0.0000), Zr at (0.0000, 0.3923, 0.5000), Bi at (0.3333, 0.6667, 0.0000) and Os at (0.0000, 0.0000, 0.5000).

Table of uncorrected energy (eV/atom), in record order: -2.985; -3.475; -4.287; -5.662; -2.681; -7.557; -3.830; -8.676